1.
VASP calculation (PBE) on an optimized crystal structure of KW2Au.

Cell: 2.7507 2.7507 11.1564 Å, 90.00 90.00 112.48°
Last column: nearest neighbours and their distance in Å.
Atoms (fractional coordinates):
K1 0.0000 0.0000 0.0000  6 K 2.75-3.06
W1 0.5000 0.5000 0.2813  6 W 2.75-3.06, 2 Au 2.88
W2 0.5000 0.5000 0.7187  6 W 2.75-3.06, 2 Au 2.88
Au1 0.0000 0.0000 0.5000  6 Au 2.75-3.06, 4 W 2.88

excess energy over the best structure of this formula in the dataset = 0.4480 eV per atom
formation enthalpy at 0 K = 412.3 kJ/mol of formula units



2.
VASP calculation (PBE) on an optimized crystal structure of KWAu.

Cell: 9.8386 3.1044 9.0422 Å, 90.00 90.00 90.00°
Last column: nearest neighbours and their distance in Å.
Atoms (fractional coordinates):
K1 0.0644 0.2500 0.1487  5 Au 3.09-3.28, 4 K 3.10-3.35
K2 0.4356 0.7500 0.6487  5 Au 3.09-3.28, 4 K 3.10-3.35
K3 0.5644 0.2500 0.3513  5 Au 3.09-3.28, 4 K 3.10-3.35
K4 0.9356 0.7500 0.8513  5 Au 3.09-3.28, 4 K 3.10-3.35
W1 0.0909 0.2500 0.5332  2 W 2.44
W2 0.4091 0.7500 0.0332  2 W 2.44
W3 0.5909 0.2500 0.9668  2 W 2.44
W4 0.9091 0.7500 0.4668  2 W 2.44
Au1 0.2293 0.2500 0.8400  3 W 2.93-3.09, 5 K 3.09-3.28, 2 Au 3.10
Au2 0.2707 0.7500 0.3400  3 W 2.93-3.09, 5 K 3.09-3.28, 2 Au 3.10
Au3 0.7293 0.2500 0.6600  3 W 2.93-3.09, 5 K 3.09-3.28, 2 Au 3.10
Au4 0.7707 0.7500 0.1600  3 W 2.93-3.09, 5 K 3.09-3.28, 2 Au 3.10

excess energy over the best structure of this formula in the dataset = 0.0000 eV per atom
formation enthalpy at 0 K = 173.0 kJ/mol of formula units



3.
VASP calculation (PBE) on an optimized crystal structure of K2WAu.

Cell: 11.7528 11.7528 11.7528 Å, 14.79 14.79 14.79°
Last column: nearest neighbours and their distance in Å.
Atoms (fractional coordinates):
K1 0.2465 0.2465 0.2465  6 K 3.03, 3 Au 3.29
K2 0.7535 0.7535 0.7535  6 K 3.03, 3 Au 3.29
W1 0.0000 0.0000 0.0000  6 W 3.03
Au1 0.5000 0.5000 0.5000  6 Au 3.03, 6 K 3.29

excess energy over the best structure of this formula in the dataset = 0.2453 eV per atom
formation enthalpy at 0 K = 390.1 kJ/mol of formula units



4.
VASP calculation (PBE) on an optimized crystal structure of K2WAu.

Cell: 2.8522 4.3349 10.3626 Å, 90.00 90.00 90.00°
Last column: nearest neighbours and their distance in Å.
Atoms (fractional coordinates):
K1 0.0000 0.0000 0.0000  2 K 2.85
K2 0.5000 0.5000 0.4175  2 K 2.85
W1 0.0000 0.0000 0.6762  4 Au 2.73, 2 W 2.85
Au1 0.5000 0.5000 0.7585  4 W 2.73, 2 Au 2.85

excess energy over the best structure of this formula in the dataset = 0.0000 eV per atom
formation enthalpy at 0 K = 295.4 kJ/mol of formula units



5.
VASP calculation (PBE) on an optimized crystal structure of K2WAu.

Cell: 2.8083 5.9084 5.5688 Å, 90.00 93.99 90.00°
Last column: nearest neighbours and their distance in Å.
Atoms (fractional coordinates):
K1 0.2234 0.0000 0.2562  5 K 2.81-3.07
K2 0.7766 0.0000 0.7438  5 K 2.81-3.07
W1 0.5000 0.5000 0.0000  2 W 2.81, 2 Au 3.03
Au1 0.0000 0.5000 0.5000  2 Au 2.81, 2 W 3.03

excess energy over the best structure of this formula in the dataset = 0.3661 eV per atom
formation enthalpy at 0 K = 436.7 kJ/mol of formula units



6.
VASP calculation (PBE) on an optimized crystal structure of K2WAu.

Cell: 8.8540 8.8540 8.8540 Å, 94.78 94.78 146.45°
Last column: nearest neighbours and their distance in Å.
Atoms (fractional coordinates):
K1 0.3750 0.2191 0.3441  2 Au 3.27
K2 0.7809 0.1250 0.1559  2 Au 3.27
K3 0.8750 0.0309 0.6559  2 Au 3.27
K4 0.9691 0.6250 0.8441  2 Au 3.27
W1 0.2500 0.7500 0.5000  2 Au 2.56
W2 0.5000 0.5000 0.0000  2 Au 2.56
Au1 0.0000 0.0000 0.0000  2 W 2.56
Au2 0.7500 0.2500 0.5000  2 W 2.56

excess energy over the best structure of this formula in the dataset = 0.4524 eV per atom
formation enthalpy at 0 K = 470.0 kJ/mol of formula units



7.
VASP calculation (PBE) on an optimized crystal structure of KW2Au.

Cell: 2.8565 2.8565 10.4051 Å, 90.00 90.00 110.70°
Last column: nearest neighbours and their distance in Å.
Atoms (fractional coordinates):
K1 0.0000 0.0000 0.0000  4 K 2.86
W1 0.0000 0.0000 0.5021  6 W 2.61-2.86, 2 Au 2.89
W2 0.5000 0.5000 0.6979  6 W 2.61-2.86
Au1 0.5000 0.5000 0.2726  4 Au 2.86, 2 W 2.89

excess energy over the best structure of this formula in the dataset = 0.0000 eV per atom
formation enthalpy at 0 K = 239.4 kJ/mol of formula units



8.
VASP calculation (PBE) on an optimized crystal structure of KW2Au.

Cell: 2.7172 5.6134 5.1796 Å, 90.00 90.55 90.00°
Last column: nearest neighbours and their distance in Å.
Atoms (fractional coordinates):
K1 0.0000 0.0000 0.0000  2 K 2.72, 4 Au 2.91-2.94
W1 0.3330 0.5000 0.7440  4 W 2.69-2.79
W2 0.6670 0.5000 0.2560  4 W 2.69-2.79
Au1 0.5000 0.0000 0.5000  2 Au 2.72, 4 K 2.91-2.94

excess energy over the best structure of this formula in the dataset = 0.5620 eV per atom
formation enthalpy at 0 K = 456.3 kJ/mol of formula units



9.
VASP calculation (PBE) on an optimized crystal structure of KW2Au.

Cell: 2.7315 4.6213 7.5554 Å, 90.00 90.00 90.00°
Last column: nearest neighbours and their distance in Å.
Atoms (fractional coordinates):
K1 0.0000 0.0000 0.0000  2 K 2.73
W1 0.5000 0.5000 0.3439  1 W 2.36
W2 0.5000 0.5000 0.6561  1 W 2.36
Au1 0.0000 0.0000 0.5000  2 Au 2.73, 8 W 2.93

excess energy over the best structure of this formula in the dataset = 0.5381 eV per atom
formation enthalpy at 0 K = 447.1 kJ/mol of formula units



10.
VASP calculation (PBE) on an optimized crystal structure of K2YAu.

Cell: 8.4017 8.4017 8.4017 Å, 96.66 96.66 140.17°
Last column: nearest neighbours and their distance in Å.
Atoms (fractional coordinates):
K1 0.0183 0.6250 0.8933  2 Au 3.30
K2 0.3750 0.2683 0.3933  2 Au 3.30
K3 0.7317 0.1250 0.1067  2 Au 3.30
K4 0.8750 0.9817 0.6067  2 Au 3.30
Y1 0.2500 0.7500 0.5000  2 Au 2.86
Y2 0.5000 0.5000 0.0000  2 Au 2.86
Au1 0.0000 0.0000 0.0000  2 Y 2.86
Au2 0.7500 0.2500 0.5000  2 Y 2.86

excess energy over the best structure of this formula in the dataset = 0.3963 eV per atom
formation enthalpy at 0 K = 76.2 kJ/mol of formula units



11.
VASP calculation (PBE) on an optimized crystal structure of K2YAu.

Cell: 4.4946 4.5107 6.4321 Å, 90.00 90.00 90.00°
Last column: nearest neighbours and their distance in Å.
Atoms (fractional coordinates):
K1 0.0000 0.0000 0.0000  4 K 3.18
K2 0.5000 0.5000 0.0000  4 K 3.18
Y1 0.0000 0.5000 0.5000  4 Au 3.18
Au1 0.5000 0.0000 0.5000  4 Y 3.18

excess energy over the best structure of this formula in the dataset = 0.3418 eV per atom
formation enthalpy at 0 K = 55.1 kJ/mol of formula units



12.
VASP calculation (PBE) on an optimized crystal structure of KYAu10.

Cell: 4.7114 5.5856 9.8307 Å, 90.00 90.00 90.00°
Last column: nearest neighbours and their distance in Å.
Atoms (fractional coordinates):
K1 0.0000 0.0000 0.0000  10 Au 3.32-3.65
Y1 0.0000 0.5000 0.5000  6 Au 3.11-3.19
Au1 0.0000 0.0000 0.3423  7 Au 2.82-3.10
Au2 0.0000 0.0000 0.6577  7 Au 2.82-3.10
Au3 0.0000 0.5000 0.1835  6 Au 2.82-2.97, 1 Y 3.11
Au4 0.0000 0.5000 0.8165  6 Au 2.82-2.97, 1 Y 3.11
Au5 0.5000 0.0000 0.5000  8 Au 2.79-2.82
Au6 0.5000 0.2533 0.2557  8 Au 2.76-2.88
Au7 0.5000 0.2533 0.7443  8 Au 2.76-2.88
Au8 0.5000 0.5000 0.0000  8 Au 2.87-2.97
Au9 0.5000 0.7467 0.2557  8 Au 2.76-2.88
Au10 0.5000 0.7467 0.7443  8 Au 2.76-2.88

formation enthalpy at 0 K = -321.3 kJ/mol of formula units